Entry 1:
! PmErCoIr (PBE, relaxed); values from VASP
&SYSTEM
  ibrav = 0, nat = 4, ntyp = 4
/
ATOMIC_SPECIES
Co 58.93 Co.upf
Ir 192.22 Ir.upf
Er 167.26 Er.upf
Pm 145.00 Pm.upf
CELL_PARAMETERS angstrom
-3.3285 -3.4833 -0.5310
0.8667 -4.4586 1.6923
-2.4277 -1.6412 3.8609
ATOMIC_POSITIONS crystal
Co 0.5000 0.5000 0.5000
Ir 0.0000 0.0000 0.0000
Er 0.7500 0.7500 0.7500
Pm 0.2500 0.2500 0.2500
! Density (g cm⁻³): 11.62
! VASP energy (eV/f.u.): -27.0
! Formation enthalpy at 0 K (eV per atom): -0.43
! Space group: F-43m, No. 216

Entry 2:
! UGeO (PBE, relaxed); values from VASP
&SYSTEM
  ibrav = 0, nat = 6, ntyp = 3
/
ATOMIC_SPECIES
O 16.00 O.upf
U 238.03 U.upf
Ge 72.64 Ge.upf
CELL_PARAMETERS angstrom
-0.6357 -2.7133 1.9556
3.8600 -1.7939 -4.1976
4.2549 1.3940 3.3171
ATOMIC_POSITIONS crystal
O 0.5000 0.0000 0.5000
O 0.5000 0.0000 0.0000
U 0.9354 0.8709 0.7500
U 0.0646 0.1291 0.2500
Ge 0.7827 0.5654 0.2500
Ge 0.2173 0.4346 0.7500
! Density (g cm⁻³): 9.98
! VASP energy (eV/f.u.): -24.9
! Space group: Cmcm, No. 63
! Formation energy without anion corrections (eV per atom): -1.351

Entry 3:
! SmGd2Sn (PBE, relaxed); values from VASP
&SYSTEM
  ibrav = 0, nat = 4, ntyp = 3
/
ATOMIC_SPECIES
Sm 150.36 Sm.upf
Gd 157.25 Gd.upf
Sn 118.71 Sn.upf
CELL_PARAMETERS angstrom
-1.5672 2.5874 -2.8567
-3.8464 -1.2470 0.9807
-0.4100 5.0103 4.7629
ATOMIC_POSITIONS crystal
Sm 0.5000 0.5000 0.0000
Gd 0.0000 0.0000 0.7229
Gd 0.0000 0.0000 0.2771
Sn 0.5000 0.5000 0.5000
! Density (g cm⁻³): 8.08
! Energy relative to the lowest polymorph listed for this composition (meV/atom): 108.8
! VASP energy (eV/f.u.): -38.2
! Formation enthalpy at 0 K (eV per atom): -0.34
! Space group: P4/mmm, No. 123

Entry 4:
! Rb4Ho3SnTe8 (PBE, relaxed); values from VASP
&SYSTEM
  ibrav = 0, nat = 16, ntyp = 4
/
ATOMIC_SPECIES
Ho 164.93 Ho.upf
Te 127.60 Te.upf
Rb 85.47 Rb.upf
Sn 118.71 Sn.upf
CELL_PARAMETERS angstrom
-8.5208 3.0766 0.1191
-1.6342 -4.8590 8.6052
6.9239 5.8424 -0.1603
ATOMIC_POSITIONS crystal
Ho 0.0000 0.5000 0.5000
Ho 0.5000 0.5000 0.0000
Ho 0.5000 0.5000 0.5000
Te 0.7671 0.3039 0.5341
Te 0.2669 0.3009 0.5338
Te 0.2329 0.6961 0.4659
Te 0.2695 0.3039 0.0366
Te 0.2329 0.6961 0.9634
Te 0.7331 0.6991 0.4662
Te 0.7305 0.6961 0.9634
Te 0.7671 0.3039 0.0366
Rb 0.5000 0.0000 0.0000
Rb 0.5000 0.0000 0.5000
Rb 0.0000 0.0000 0.5000
Rb 0.0000 0.0000 0.0000
Sn 0.0000 0.5000 0.0000
! Density (g cm⁻³): 5.41
! VASP energy (eV/f.u.): -65.3
! Space group: R-3m, No. 166
! Formation energy without anion corrections (eV per atom): -1.162